No. 1
# Mg7InPb4 (PBE-GGA, relaxed)
data_Mg7InPb4
_chemical_formula_sum 'Mg7 In1 Pb4'
_cell_length_a 5.1688
_cell_length_b 5.1688
_cell_length_c 13.2222
_cell_angle_alpha 90.00
_cell_angle_beta 90.00
_cell_angle_gamma 120.00
_space_group_name_H-M_alt 'P -3 m 1'
_space_group_IT_number 164
_space_group_name_Hall '-P 3 2"'
loop_
_atom_site_label
_atom_site_fract_x
_atom_site_fract_y
_atom_site_fract_z
_atom_site_occupancy
Mg1 0.0000 0.0000 0.0000 1
Mg2 0.0000 0.0000 0.2492 1
Mg3 0.3333 0.6667 0.1634 1
Mg4 0.3333 0.6667 0.4161 1
In1 0.0000 0.0000 0.5000 1
Pb1 0.3333 0.6667 0.6611 1
Pb2 0.3333 0.6667 0.9133 1
# Calculated formation energy   -0.018 eV/atom
# ΔE to the lowest computed polymorph   0 meV/atom



No. 2
# MgInPb (PBE-GGA, relaxed)
data_MgInPb
_chemical_formula_sum 'Mg4 In4 Pb4'
_cell_length_a 3.800
_cell_length_b 5.550
_cell_length_c 15.484
_cell_angle_alpha 90.00
_cell_angle_beta 90.00
_cell_angle_gamma 90.00
_space_group_name_H-M_alt 'F m m 2'
_space_group_IT_number 42
_space_group_name_Hall 'F 2 -2'
loop_
_atom_site_label
_atom_site_fract_x
_atom_site_fract_y
_atom_site_fract_z
_atom_site_occupancy
Mg1 0.000 0.000 0.000 1
In1 0.000 0.000 0.343 1
Pb1 0.000 0.000 0.664 1
# Calculated formation energy   0.020 eV/atom



No. 3
# Mg4In2Pb (PBE-GGA, relaxed)
data_Mg4In2Pb
_chemical_formula_sum 'Mg8 In4 Pb2'
_cell_length_a 7.494
_cell_length_b 7.494
_cell_length_c 6.520
_cell_angle_alpha 90.00
_cell_angle_beta 90.00
_cell_angle_gamma 90.00
_space_group_name_H-M_alt 'I 4/m m m'
_space_group_IT_number 139
_space_group_name_Hall '-I 4 2'
loop_
_atom_site_label
_atom_site_fract_x
_atom_site_fract_y
_atom_site_fract_z
_atom_site_occupancy
Mg1 0.250 0.250 0.250 1
In1 0.000 0.500 0.000 1
Pb1 0.000 0.000 0.000 1
# Calculated formation energy   0.013 eV/atom
# ΔE to the lowest computed polymorph   45 meV/atom



No. 4
# Mg2In9Pb (PBE-GGA, relaxed)
data_Mg2In9Pb
_chemical_formula_sum 'Mg2 In9 Pb1'
_cell_length_a 4.816
_cell_length_b 4.816
_cell_length_c 13.575
_cell_angle_alpha 90.00
_cell_angle_beta 90.00
_cell_angle_gamma 90.00
_space_group_name_H-M_alt 'P 4/m m m'
_space_group_IT_number 123
_space_group_name_Hall '-P 4 2'
loop_
_atom_site_label
_atom_site_fract_x
_atom_site_fract_y
_atom_site_fract_z
_atom_site_occupancy
Mg1 0.000 0.000 0.162 1
In1 0.000 0.500 0.000 1
In2 0.000 0.500 0.323 1
In3 0.500 0.500 0.160 1
In4 0.500 0.500 0.500 1
Pb1 0.000 0.000 0.500 1
# Calculated formation energy   -0.004 eV/atom
# ΔE to the lowest computed polymorph   0 meV/atom



No. 5
# Mg2InPb (PBE-GGA, relaxed)
data_Mg2InPb
_chemical_formula_sum 'Mg4 In2 Pb2'
_cell_length_a 6.793
_cell_length_b 8.486
_cell_length_c 3.462
_cell_angle_alpha 90.00
_cell_angle_beta 90.25
_cell_angle_gamma 90.00
_space_group_name_H-M_alt 'C 1 2/m 1'
_space_group_IT_number 12
loop_
_space_group_symop_operation_xyz
'x,y,z'
'-x,-y,-z'
'-x,y,-z'
'x,-y,z'
'x+1/2,y+1/2,z'
'-x+1/2,-y+1/2,-z'
'-x+1/2,y+1/2,-z'
'x+1/2,-y+1/2,z'
loop_
_atom_site_label
_atom_site_fract_x
_atom_site_fract_y
_atom_site_fract_z
_atom_site_occupancy
Mg1 0.250 0.250 0.000 1
In1 0.000 0.000 0.500 1
Pb1 0.000 0.500 0.500 1
# Calculated formation energy   -0.072 eV/atom



No. 6
# Mg5In2Pb2 (PBE-GGA, relaxed)
data_Mg5In2Pb2
_chemical_formula_sum 'Mg5 In2 Pb2'
_cell_length_a 5.525
_cell_length_b 5.972
_cell_length_c 7.731
_cell_angle_alpha 103.02
_cell_angle_beta 107.56
_cell_angle_gamma 97.55
_space_group_name_H-M_alt 'P -1'
_space_group_IT_number 2
loop_
_space_group_symop_operation_xyz
'x,y,z'
'-x,-y,-z'
loop_
_atom_site_label
_atom_site_fract_x
_atom_site_fract_y
_atom_site_fract_z
_atom_site_occupancy
Mg1 0.000 0.000 0.000 1
Mg2 0.034 0.585 0.221 1
Mg3 0.453 0.665 0.679 1
In1 0.076 0.196 0.419 1
Pb1 0.486 0.221 0.871 1
# Calculated formation energy   -0.020 eV/atom



> The lowest calculated formation energy belongs to which entry?

Mg2InPb



> calculated formation energy of number 1 (Mg7InPb4)?

-0.018 eV/atom



Repeat the third record exactly.
# Mg4In2Pb (PBE-GGA, relaxed)
data_Mg4In2Pb
_chemical_formula_sum 'Mg8 In4 Pb2'
_cell_length_a 7.494
_cell_length_b 7.494
_cell_length_c 6.520
_cell_angle_alpha 90.00
_cell_angle_beta 90.00
_cell_angle_gamma 90.00
_space_group_name_H-M_alt 'I 4/m m m'
_space_group_IT_number 139
_space_group_name_Hall '-I 4 2'
loop_
_atom_site_label
_atom_site_fract_x
_atom_site_fract_y
_atom_site_fract_z
_atom_site_occupancy
Mg1 0.250 0.250 0.250 1
In1 0.000 0.500 0.000 1
Pb1 0.000 0.000 0.000 1
# Calculated formation energy   0.013 eV/atom
# ΔE to the lowest computed polymorph   45 meV/atom



> Among the records above, which one has the lowest calculated formation energy?

Mg2InPb